Density functional theory data (GGA-PBE) for a relaxed Be22Mo crystal.

Summary:
- final energy (eV/atom) = -4.102
- V (A^3/atom) = 8.41
- total magnetization (μB/cell) = 0.00
- ΔH_f (0 K) (eV per atom) = -0.066

Cell: 11.5664 11.5664 11.5664 Å, 90.00 90.00 90.00°
Space group Fd-3m (No. 227, origin choice 2)
Symmetry-distinct sites (fractional):
Be 0.0000 0.0000 0.0000
Be 0.0000 0.0000 0.5000
Be 0.0099 0.3750 0.3750
Be 0.0597 0.0597 0.8243
Mo 0.1250 0.1250 0.6250



Density functional theory data (GGA-PBE) for a relaxed Sc3CdGa4 crystal.

Summary:
- final energy (eV/atom) = -4.364
- V (A^3/atom) = 20.49
- total magnetization (μB/cell) = 0.00
- ΔH_f (0 K) (eV per atom) = -0.362

Cell: 3.2345 6.1550 16.4701 Å, 90.00 90.00 90.00°
Space group Immm (No. 71)
Symmetry-distinct sites (fractional):
Sc 0.0000 0.0000 0.0000
Sc 0.0000 0.5000 0.2168
Cd 0.0000 0.0000 0.5000
Ga 0.0000 0.2912 0.3731



Density functional theory data (GGA-PBE) for a relaxed PmAs2Pd crystal.

Summary:
- final energy (eV/atom) = -5.234
- excess energy over the best structure of this formula in the dataset (kJ/mol of formula units) = 179
- V (A^3/atom) = 20.27
- total magnetization (μB/cell) = 0.00
- ΔH_f (0 K) (eV per atom) = -0.423

Cell: 3.4803 3.4803 6.6955 Å, 90.00 90.00 90.00°
Space group P4/mmm (No. 123)
Symmetry-distinct sites (fractional):
Pm 0.0000 0.0000 0.0000
As 0.5000 0.5000 0.3003
Pd 0.0000 0.0000 0.5000



Density functional theory data (GGA-PBE) for a relaxed TiS2NO crystal.

Summary:
- final energy (eV/atom) = -5.257
- excess energy over the best structure of this formula in the dataset (kJ/mol of formula units) = 0
- V (A^3/atom) = 17.54
- E_form (uncorrected) (eV per atom) = 0.63
- total magnetization (μB/cell) = 3.84

Cell: 4.7418 4.7418 3.9014 Å, 90.00 90.00 90.00°
Space group P4/mmm (No. 123)
Symmetry-distinct sites (fractional):
Ti 0.0000 0.0000 0.0000
S 0.0000 0.5000 0.0000
N 0.0000 0.0000 0.5000
O 0.5000 0.5000 0.5000



Density functional theory data (GGA-PBE) for a relaxed Sc2CrOsBr crystal.

Summary:
- final energy (eV/atom) = -6.192
- V (A^3/atom) = 22.04
- E_form (uncorrected) (eV per atom) = 0.85
- total magnetization (μB/cell) = 4.00

Cell: 4.8785 4.8785 4.6298 Å, 90.00 90.00 90.00°
Space group P4/mmm (No. 123)
Symmetry-distinct sites (fractional):
Sc 0.0000 0.5000 0.0000
Cr 0.0000 0.0000 0.5000
Os 0.5000 0.5000 0.5000
Br 0.5000 0.5000 0.0000



Density functional theory data (GGA-PBE) for a relaxed La2AlRh crystal.

Summary:
- final energy (eV/atom) = -5.505
- V (A^3/atom) = 26.63
- total magnetization (μB/cell) = 0.00
- ΔH_f (0 K) (eV per atom) = -0.268

Cell: 8.2567 8.2567 6.2508 Å, 90.00 90.00 90.00°
Space group I-42d (No. 122)
Symmetry-distinct sites (fractional):
La 0.1962 0.7500 0.1250
Al 0.0000 0.0000 0.5000
Rh 0.0000 0.0000 0.0000



Density functional theory data (GGA-PBE) for a relaxed Li3Cu8Ni2 crystal.

Summary:
- final energy (eV/atom) = -3.726
- excess energy over the best structure of this formula in the dataset (kJ/mol of formula units) = 56
- V (A^3/atom) = 13.31
- total magnetization (μB/cell) = 0.00
- ΔH_f (0 K) (eV per atom) = 0.126

Cell: 9.6262 7.7496 4.7559 Å, 90.00 102.64 90.00°
Space group C2/m (No. 12)
Symmetry-distinct sites (fractional):
Li 0.0000 0.0000 0.0000
Li 0.0000 0.1984 0.5000
Cu 0.0289 0.5000 0.2633
Cu 0.1312 0.2614 0.0256
Cu 0.2297 0.5000 0.7012
Ni 0.2146 0.0000 0.7746



Density functional theory data (GGA-PBE) for a relaxed Tc2RuBr crystal.

Summary:
- final energy (eV/atom) = -6.781
- excess energy over the best structure of this formula in the dataset (kJ/mol of formula units) = 240
- V (A^3/atom) = 21.81
- E_form (uncorrected) (eV per atom) = 1.14
- total magnetization (μB/cell) = 0.00

Cell: 5.6408 5.6408 10.9691 Å, 90.00 90.00 90.00°
Space group I-42d (No. 122)
Symmetry-distinct sites (fractional):
Tc 0.2309 0.2500 0.1250
Ru 0.0000 0.0000 0.0000
Br 0.0000 0.0000 0.5000



Density functional theory data (GGA-PBE) for a relaxed KAg2HgF6 crystal.

Summary:
- final energy (eV/atom) = -3.352
- V (A^3/atom) = 17.53
- E_form (uncorrected) (eV per atom) = -1.52
- total magnetization (μB/cell) = 0.00

Cell: 6.0484 6.1277 11.1397 Å, 90.00 121.87 90.00°
Space group P2_1/c (No. 14)
Symmetry-distinct sites (fractional):
K 0.0000 0.0000 0.0000
Ag 0.2781 0.0636 0.7713
Hg 0.5000 0.0000 0.5000
F 0.0505 0.1361 0.2581
F 0.3824 0.7033 0.1544
F 0.4127 0.1948 0.0471



Density functional theory data (GGA-PBE) for a relaxed ZnAgP2 crystal.

Summary:
- final energy (eV/atom) = -3.473
- V (A^3/atom) = 17.05
- total magnetization (μB/cell) = 0.00
- ΔH_f (0 K) (eV per atom) = 0.264

Cell: 3.5709 3.5709 5.3496 Å, 90.00 90.00 90.00°
Space group P4/mmm (No. 123)
Symmetry-distinct sites (fractional):
Zn 0.0000 0.0000 0.0000
Ag 0.0000 0.0000 0.5000
P 0.5000 0.5000 0.2005



Density functional theory data (GGA-PBE) for a relaxed B5C7 crystal.

Summary:
- final energy (eV/atom) = -7.834
- excess energy over the best structure of this formula in the dataset (kJ/mol of formula units) = 82
- V (A^3/atom) = 6.23
- total magnetization (μB/cell) = 0.00
- ΔH_f (0 K) (eV per atom) = 0.329

Cell: 4.7459 2.6362 6.2319 Å, 90.00 106.44 90.00°
Space group Pm (No. 6)
Symmetry-distinct sites (fractional):
B 0.0000 0.0000 0.0000
B 0.0231 0.0000 0.7040
B 0.1610 0.5000 0.3059
B 0.3463 0.0000 0.9764
B 0.8067 0.5000 0.3324
C 0.1404 0.5000 0.5827
C 0.3152 0.0000 0.2421
C 0.4983 0.5000 0.6823
C 0.5201 0.5000 0.9330
C 0.6359 0.0000 0.3753
C 0.6505 0.0000 0.6229
C 0.8442 0.5000 0.0633



Density functional theory data (GGA-PBE) for a relaxed PuHg3S2F6 crystal.

Summary:
- final energy (eV/atom) = -4.800
- V (A^3/atom) = 20.52
- E_form (uncorrected) (eV per atom) = -1.91
- total magnetization (μB/cell) = 8.00

Cell: 14.0154 7.3932 5.0869 Å, 90.00 110.86 90.00°
Space group C2/m (No. 12)
Symmetry-distinct sites (fractional):
Pu 0.0000 0.0000 0.0000
Hg 0.0000 0.5000 0.5000
Hg 0.2500 0.2500 0.5000
S 0.1839 0.5000 0.6896
F 0.0953 0.2176 0.9531
F 0.0988 0.0000 0.4408